# 1
PSBrO6 | GGA-PBE | optimized geometry

It has space group P312 (No. 149), with a = 4.5169 Å, b = 4.5169 Å, c = 6.3981 Å, α = 90.00°, β = 90.00° and γ = 120.00°. The inequivalent atoms are P at (0.0000, 0.0000, 0.0000), S at (0.3333, 0.6667, 0.0000), Br at (0.6667, 0.3333, 0.5000) and O at (0.0507, 0.3388, 0.8512).

Its uncorrected formation energy is -0.73 eV per atom. The total magnetization comes out at 1.918 Bohr magnetons per cell. The density of states at the Fermi level is 0.554 states/eV per atom.

=====

# 2
Mg3As | GGA-PBE | optimized geometry

It has space group Fm-3m (No. 225), with a = 7.0292 Å, b = 7.0292 Å, c = 7.0292 Å, α = 90.00°, β = 90.00° and γ = 90.00°. The inequivalent atoms are Mg at (0.0000, 0.0000, 0.0000), Mg at (0.2500, 0.2500, 0.2500) and As at (0.0000, 0.0000, 0.5000).

The total magnetization comes out at 0.000 Bohr magnetons per cell. The calculated total energy comes out at -38.3 eV/cell. The density of states at the Fermi level is 0.573 states/eV per atom.

=====

# 3
TlCo2AsRh | GGA-PBE | optimized geometry

It has space group P4/mmm (No. 123), with a = 4.7267 Å, b = 4.7267 Å, c = 5.1192 Å, α = 90.00°, β = 90.00° and γ = 90.00°. The inequivalent atoms are Tl at (0.0000, 0.0000, 0.0000), Co at (0.0000, 0.5000, 0.0000), As at (0.0000, 0.0000, 0.5000) and Rh at (0.5000, 0.5000, 0.5000).

The total magnetization comes out at 4.316 Bohr magnetons per cell. The calculated total energy comes out at -19.2 eV/cell. The density of states at the Fermi level is 1.790 states/eV per atom.

=====

# 4
Sc5GaSb2 | GGA-PBE | optimized geometry

It has space group Cmcm (No. 63), with a = 5.2364 Å, b = 10.5580 Å, c = 13.5779 Å, α = 90.00°, β = 90.00° and γ = 90.00°. The inequivalent atoms are Sc at (0.0000, 0.0607, 0.2500), Sc at (0.0000, 0.1189, 0.5519), Sc at (0.0000, 0.4179, 0.5952), Ga at (0.0000, 0.2235, 0.7500) and Sb at (0.0000, 0.2931, 0.1187).

Its uncorrected formation energy is -0.38 eV per atom. The total magnetization comes out at 0.001 Bohr magnetons per cell. The density of states at the Fermi level is 1.028 states/eV per atom.

=====

# 5
RbBaHg2F8 | GGA-PBE | optimized geometry

It has space group I-4 (No. 82), with a = 6.2689 Å, b = 6.2689 Å, c = 12.0298 Å, α = 90.00°, β = 90.00° and γ = 90.00°. The inequivalent atoms are Rb at (0.0000, 0.0000, 0.0000), Ba at (0.0000, 0.5000, 0.2500), Hg at (0.0000, 0.0000, 0.5000), Hg at (0.0000, 0.5000, 0.7500), F at (0.1752, 0.2533, 0.4123) and F at (0.2173, 0.7232, 0.8317).

Its uncorrected formation energy is -2.13 eV per atom. The total magnetization comes out at 2.230 Bohr magnetons per cell. The density of states at the Fermi level is 0.531 states/eV per atom.

=====

# 6
LuCoSiRu | GGA-PBE | optimized geometry

It has space group F-43m (No. 216), with a = 6.1391 Å, b = 6.1391 Å, c = 6.1391 Å, α = 90.00°, β = 90.00° and γ = 90.00°. The inequivalent atoms are Lu at (0.0000, 0.0000, 0.0000), Co at (0.2500, 0.2500, 0.7500), Si at (0.0000, 0.0000, 0.5000) and Ru at (0.2500, 0.2500, 0.2500).

Its uncorrected formation energy is -0.48 eV per atom. The total magnetization comes out at 0.000 Bohr magnetons per cell. The density of states at the Fermi level is 0.186 states/eV per atom.